The following is a PBE calculation of a relaxed structure of CsK12Na7, from Alexandria.

## Properties
**Total DFT energy (no corrections)**: -1.1261 eV/atom
**DFT formation energy**: 0.037 eV/atom
**Calculated volume**: 63.27 A^3/atom
**Size of the total moment**: 0.00 μB/cell

a = 11.065 Å, b = 12.069 Å, c = 12.069 Å
α = 111.09°, β = 107.80°, γ = 107.80°
Fractional coordinates of all 20 atoms:
Cs 0.000 0.000 0.000
K 0.262 0.523 0.262
K 0.000 0.262 0.738
K 0.528 0.678 0.000
K 0.472 0.000 0.322
K 0.262 0.262 0.523
K 0.150 0.678 0.678
K 0.850 0.322 0.322
K 0.738 0.738 0.477
K 0.528 0.000 0.678
K 0.472 0.322 0.000
K 0.000 0.738 0.262
K 0.738 0.477 0.738
Na 0.155 0.659 0.000
Na 0.845 0.000 0.341
Na 0.504 0.659 0.659
Na 0.500 0.000 0.000
Na 0.496 0.341 0.341
Na 0.155 0.000 0.659
Na 0.845 0.341 0.000

***

The following is a PBE calculation of a relaxed structure of Pr2B4Au5, from Alexandria.

## Properties
**Total DFT energy (no corrections)**: -4.6730 eV/atom
**DFT formation energy**: 0.114 eV/atom
**Calculated volume**: 16.75 A^3/atom
**Size of the total moment**: 0.00 μB/cell

a = 5.841 Å, b = 5.983 Å, c = 6.711 Å
α = 77.73°, β = 64.20°, γ = 60.78°
Fractional coordinates of all 11 atoms:
Pr 0.845 0.000 0.307
Pr 0.155 0.000 0.693
B 0.785 0.695 0.735
B 0.215 0.305 0.265
B 0.520 0.695 0.265
B 0.480 0.305 0.735
Au 0.249 0.502 0.500
Au 0.000 0.500 0.000
Au 0.500 0.000 0.000
Au 0.500 0.500 0.000
Au 0.751 0.498 0.500